Below is a relaxed FeTcSn3 crystal, with properties calculated at the PBE level.

Computed properties:
Excess energy over the best structure of this formula in the dataset: 0 meV per atom
Space-group type: No. 221
Calculated formation energy: 733 meV per atom

abc: 5.138 5.138 5.138
angles: 90.00 90.00 90.00
Fractional coordinates of all 5 atoms:
1 Fe 0.500 0.500 0.500
2 Sn 0.000 0.500 0.000
3 Sn 0.000 0.000 0.500
4 Sn 0.500 0.000 0.000
5 Tc 0.000 0.000 0.000

=====

Below is a relaxed Nd2YAg2Hg2 crystal, with properties calculated at the PBE level.

Computed properties:
Space-group type: No. 166
Calculated formation energy: -248 meV per atom

abc: 4.892 4.892 9.350
angles: 74.83 74.83 60.00
Fractional coordinates of all 7 atoms:
1 Nd 0.123 0.123 0.631
2 Nd 0.877 0.877 0.369
3 Y 0.000 0.000 0.000
4 Ag 0.608 0.608 0.177
5 Ag 0.392 0.392 0.823
6 Hg 0.735 0.735 0.794
7 Hg 0.265 0.265 0.206

=====

Below is a relaxed Dy2CdGeO6 crystal, with properties calculated at the PBE level.

Computed properties:
Space-group type: No. 99
Formation energy without anion corrections: -2319 meV/atom

abc: 5.131 5.276 5.276
angles: 90.00 90.00 90.00
Fractional coordinates of all 10 atoms:
1 Dy 0.986 0.500 0.000
2 Dy 0.986 0.000 0.500
3 Cd 0.532 0.500 0.500
4 Ge 0.604 0.000 0.000
5 O 0.741 0.233 0.233
6 O 0.741 0.233 0.767
7 O 0.122 0.500 0.500
8 O 0.254 0.000 0.000
9 O 0.741 0.767 0.767
10 O 0.741 0.767 0.233